Entry 1:
# CsAl3Zn, optimized geometry, DFT PBE
# Symmetry: Pm-3m, No. 221
# Distance to the lowest polymorph of the same formula, eV per atom: 0.000
# Total magnetic moment, μB/f.u.: 0.0
# Calculated total energy, eV/atom: -2.1219
# Formation energy from the elements, eV per atom: 0.5491
data_CsAl3Zn
_symmetry_space_group_name_H-M 'P 1'
_symmetry_Int_Tables_number 1
_cell_length_a 5.2007
_cell_length_b 5.2007
_cell_length_c 5.2007
_cell_angle_alpha 90.00
_cell_angle_beta 90.00
_cell_angle_gamma 90.00
loop_
_symmetry_equiv_pos_as_xyz
'x,y,z'
loop_
_atom_site_label
_atom_site_fract_x
_atom_site_fract_y
_atom_site_fract_z
Cs1 0.5000 0.5000 0.5000
Zn1 0.0000 0.0000 0.0000
Al1 0.0000 0.5000 0.0000
Al2 0.0000 0.0000 0.5000
Al3 0.5000 0.0000 0.0000


Entry 2:
# Ce2Ga3Cu4Pt, optimized geometry, DFT PBE
# Symmetry: P-4m2, No. 115
# Total magnetic moment, μB/f.u.: 1.3
# Calculated total energy, eV/atom: -4.7486
# Formation energy from the elements, eV per atom: -0.4113
data_Ce2Ga3Cu4Pt
_symmetry_space_group_name_H-M 'P 1'
_symmetry_Int_Tables_number 1
_cell_length_a 4.1751
_cell_length_b 4.1751
_cell_length_c 10.2545
_cell_angle_alpha 90.00
_cell_angle_beta 90.00
_cell_angle_gamma 90.00
loop_
_symmetry_equiv_pos_as_xyz
'x,y,z'
loop_
_atom_site_label
_atom_site_fract_x
_atom_site_fract_y
_atom_site_fract_z
Ce1 0.5000 0.0000 0.2534
Ce2 0.0000 0.5000 0.7466
Ga1 0.0000 0.0000 0.5000
Ga2 0.5000 0.0000 0.8746
Ga3 0.0000 0.5000 0.1254
Cu1 0.5000 0.5000 0.0000
Cu2 0.0000 0.0000 0.0000
Cu3 0.5000 0.0000 0.6413
Cu4 0.0000 0.5000 0.3587
Pt1 0.5000 0.5000 0.5000


Entry 3:
# Pm2Ho4Mg, optimized geometry, DFT PBE
# Symmetry: P2_1/c, No. 14
# Distance to the lowest polymorph of the same formula, eV per atom: 0.000
# Total magnetic moment, μB/f.u.: 0.0
# Calculated total energy, eV/atom: -4.0733
# Formation energy from the elements, eV per atom: 0.1277
data_Pm2Ho4Mg
_symmetry_space_group_name_H-M 'P 1'
_symmetry_Int_Tables_number 1
_cell_length_a 11.6333
_cell_length_b 6.4963
_cell_length_c 7.0906
_cell_angle_alpha 124.49
_cell_angle_beta 90.00
_cell_angle_gamma 90.00
loop_
_symmetry_equiv_pos_as_xyz
'x,y,z'
loop_
_atom_site_label
_atom_site_fract_x
_atom_site_fract_y
_atom_site_fract_z
Pm1 0.0002 0.6287 0.3254
Pm2 0.9998 0.3713 0.6746
Pm3 0.5002 0.8713 0.6746
Pm4 0.4998 0.1287 0.3254
Ho1 0.7887 0.9727 0.2564
Ho2 0.7888 0.0241 0.7417
Ho3 0.7112 0.5241 0.7417
Ho4 0.7113 0.4727 0.2564
Ho5 0.2887 0.5273 0.7436
Ho6 0.2888 0.4759 0.2583
Ho7 0.2112 0.9759 0.2583
Ho8 0.2113 0.0273 0.7436
Mg1 0.0000 0.0000 0.0000
Mg2 0.5000 0.5000 0.0000